[1]
DFT (PBE) results for an optimized crystal structure of GaSi3C3N.

Computed properties:
Density of states at the Fermi level, states/eV/atom: 0.000

Cell and atoms, written as CIF:
```
data_GaSi3C3N
_symmetry_space_group_name_H-M 'P 1'
_symmetry_Int_Tables_number 1
_cell_length_a 5.105
_cell_length_b 3.112
_cell_length_c 5.400
_cell_angle_alpha 90.00
_cell_angle_beta 90.25
_cell_angle_gamma 90.00
loop_
_symmetry_equiv_pos_as_xyz
'x,y,z'
loop_
_atom_site_label
_atom_site_fract_x
_atom_site_fract_y
_atom_site_fract_z
Ga1 0.000 0.000 0.000
Si1 0.011 0.500 0.498
Si2 0.500 0.500 0.826
Si3 0.507 0.000 0.332
C1 0.138 0.000 0.348
C2 0.604 0.000 0.994
C3 0.637 0.500 0.499
N1 0.142 0.500 0.809
```



[2]
DFT (PBE) results for an optimized crystal structure of GaSiCN.

Cell and atoms, written as CIF:
```
data_GaSiCN
_symmetry_space_group_name_H-M 'P 1'
_symmetry_Int_Tables_number 1
_cell_length_a 3.145
_cell_length_b 5.624
_cell_length_c 5.089
_cell_angle_alpha 90.00
_cell_angle_beta 90.00
_cell_angle_gamma 90.00
loop_
_symmetry_equiv_pos_as_xyz
'x,y,z'
loop_
_atom_site_label
_atom_site_fract_x
_atom_site_fract_y
_atom_site_fract_z
Ga1 0.000 0.061 0.000
Ga2 0.500 0.939 0.500
Si1 0.000 0.411 0.476
Si2 0.500 0.589 0.976
C1 0.000 0.109 0.379
C2 0.500 0.891 0.879
N1 0.000 0.444 0.841
N2 0.500 0.556 0.341
```



[3]
DFT (PBE) results for an optimized crystal structure of Sr2GaCN.

Computed properties:
Density of states at the Fermi level, states/eV/atom: 0.509

Cell and atoms, written as CIF:
```
data_Sr2GaCN
_symmetry_space_group_name_H-M 'P 1'
_symmetry_Int_Tables_number 1
_cell_length_a 5.692
_cell_length_b 5.692
_cell_length_c 3.584
_cell_angle_alpha 90.00
_cell_angle_beta 90.00
_cell_angle_gamma 90.00
loop_
_symmetry_equiv_pos_as_xyz
'x,y,z'
loop_
_atom_site_label
_atom_site_fract_x
_atom_site_fract_y
_atom_site_fract_z
Sr1 0.000 0.500 0.000
Sr2 0.500 0.000 0.000
Ga1 0.000 0.000 0.000
C1 0.000 0.000 0.500
N1 0.500 0.500 0.500
```



Listing raw formation energy for the structures above in their given order: -6.68, -2.89, 22.98 kcal/mol of atoms.
Listing mass density for the structures above in their given order: 3.95, 4.57, 3.88 Mg/m³.